Here is a relaxed La2YFeSi crystal from Alexandria. Energies are from PBE.

Values from the calculation:
Total magnetization   0.02 μB per cell
Total energy   -5.85 eV per atom
Space group   P4/mmm, No. 123
Formation energy from raw total energies   0.1887 eV/atom

Cell: 5.794 5.794 4.283 Å, 90.00 90.00 90.00°
Atoms (fractional coordinates):
La 0.000 0.500 0.000
La 0.500 0.000 0.000
Y 0.000 0.000 0.500
Fe 0.500 0.500 0.500
Si 0.500 0.500 0.000